Here is an optimized crystal structure of ScSb2 from the Alexandria database. Energies are from GGA-PBE.

Properties
E: -5.39 eV per atom
Fermi-level density of states: 0.638 states/eV per atom
Space-group type: I4/mmm (139)
Calculated volume: 24.00 Å³/atom

abc: 3.837 3.837 9.783
angles: 90.00 90.00 90.00
Fractional positions:
Sc (0.000, 0.000, 0.000)
Sc (0.500, 0.500, 0.500)
Sb (0.000, 0.000, 0.346)
Sb (0.000, 0.000, 0.654)
Sb (0.500, 0.500, 0.154)
Sb (0.500, 0.500, 0.846)

***

Here is an optimized crystal structure of AcPbF from the Alexandria database. Energies are from GGA-PBE.

Properties
Fermi-level density of states: 0.326 states/eV per atom
Space-group type: Cmcm (63)
Energy above the lowest structure with this stoichiometry: 229.5 meV per atom
Calculated volume: 32.11 Å³/atom

abc: 4.856 17.116 4.636
angles: 90.00 90.00 90.00
Fractional positions:
Ac (0.000, 0.120, 0.250)
Ac (0.000, 0.880, 0.750)
Ac (0.500, 0.380, 0.750)
Ac (0.500, 0.620, 0.250)
Pb (0.000, 0.439, 0.250)
Pb (0.000, 0.561, 0.750)
Pb (0.500, 0.061, 0.750)
Pb (0.500, 0.939, 0.250)
F (0.000, 0.250, 0.250)
F (0.000, 0.750, 0.750)
F (0.500, 0.250, 0.750)
F (0.500, 0.750, 0.250)

***

Here is an optimized crystal structure of UB2RhO8 from the Alexandria database. Energies are from GGA-PBE.

Properties
E: -7.83 eV per atom
Fermi-level density of states: 0.789 states/eV per atom
Space-group type: P-3m1 (164)
Calculated volume: 10.78 Å³/atom

abc: 4.879 4.879 6.272
angles: 90.00 90.00 120.00
Fractional positions:
U (0.000, 0.000, 0.000)
B (0.333, 0.667, 0.209)
B (0.667, 0.333, 0.791)
Rh (0.000, 0.000, 0.500)
O (0.168, 0.336, 0.277)
O (0.168, 0.832, 0.277)
O (0.333, 0.667, 0.981)
O (0.336, 0.168, 0.723)
O (0.664, 0.832, 0.277)
O (0.667, 0.333, 0.019)
O (0.832, 0.168, 0.723)
O (0.832, 0.664, 0.723)

***

Number 1: total magnetic moment 0.000 μB per atom. Number 2: total magnetic moment 0.000 μB per atom. Number 3: total magnetic moment 0.060 μB per atom.